Entry from the Alexandria database: Sm5BSe4 after structural relaxation (GGA-PBE).

abc: 5.8361 7.1699 7.1699
angles: 80.47 65.98 65.98
With the nearest neighbours (Å) after each atom.
Fractional positions:
Sm1 0.9093 0.3646 0.8189  1 B 2.67, 3 Se 2.93-2.94
Sm2 0.2739 0.8189 0.6354  1 B 2.67, 3 Se 2.93-2.94
Sm3 0.7282 0.1811 0.3646  1 B 2.67, 3 Se 2.93-2.94
Sm4 0.0928 0.6354 0.1811  1 B 2.67, 3 Se 2.93-2.94
Sm5 0.5005 0.0000 0.0000  2 B 2.91-2.92, 4 Se 2.94
B1 0.0014 0.0000 0.0000  6 Sm 2.67-2.92
Se1 0.4071 0.3973 0.7905  6 Sm 2.93-3.13
Se2 0.8044 0.7905 0.6027  6 Sm 2.93-3.13
Se3 0.1976 0.2095 0.3973  6 Sm 2.93-3.13
Se4 0.5950 0.6027 0.2095  6 Sm 2.93-3.13

Summary:
D(E_F) = 0.327 states/eV/atom

---

Entry from the Alexandria database: SmBSe4 after structural relaxation (GGA-PBE).

abc: 7.4923 7.4923 7.4923
angles: 103.44 103.44 122.36
With the nearest neighbours (Å) after each atom.
Fractional positions:
Sm1 0.0000 0.0000 0.0000  8 Se 2.94-3.03
Sm2 0.7500 0.2500 0.5000  8 Se 2.94-3.03
B1 0.2500 0.7500 0.5000  4 Se 2.05
B2 0.5000 0.5000 0.0000  4 Se 2.05
Se1 0.2360 0.9157 0.3202  1 B 2.05
Se2 0.5955 0.9157 0.6798  1 B 2.05
Se3 0.6657 0.8455 0.1798  1 B 2.05
Se4 0.5140 0.3343 0.1798  1 B 2.05
Se5 0.6657 0.4860 0.8202  1 B 2.05
Se6 0.0843 0.4045 0.3202  1 B 2.05
Se7 0.1545 0.3343 0.8202  1 B 2.05
Se8 0.0843 0.7640 0.6798  1 B 2.05

Summary:
D(E_F) = 1.338 states/eV/atom

---

no.,uncorrected formation energy (kJ/mol of atoms)
1,-148.1
2,-51.4